(1)
CaNi2Os | GGA-PBE | relaxed

a = 4.998 Å, b = 4.998 Å, c = 4.998 Å
α = 135.31°, β = 135.31°, γ = 65.05°
Site moments in Bohr magnetons follow the coordinates.
Positions (direct):
Ni: 0.250 0.750 0.500  0.69
Ca: 0.750 0.250 0.500  -0.01
Os: 0.500 0.500 0.000  1.06
Ni: 0.000 0.000 0.000  0.59

## Properties
Offset from the most stable computed form, eV per atom: 0.337
ΔE_f, eV/atom: 0.540
Space group: I-4m2 (119)
Magnetization, μB per formula unit: 2.26
Energy, eV per atom: -5.658


(2)
CaNiOs2 | GGA-PBE | relaxed

a = 2.869 Å, b = 2.869 Å, c = 7.890 Å
α = 90.00°, β = 90.00°, γ = 90.00°
Positions (direct):
Os: 0.000 0.000 0.998
Ca: 0.000 0.000 0.506
Os: 0.500 0.500 0.206
Ni: 0.500 0.500 0.790

## Properties
Offset from the most stable computed form, eV per atom: 0.006
ΔE_f, eV/atom: 0.293
Space group: P4mm (99)
Magnetization, μB per formula unit: 0.00
Energy, eV per atom: -7.267